# 1
# La5CePr8, relaxed, DFT PBE
# * E_form: 2.76 eV per formula unit
# * calculated total energy: -4.72 eV/atom
data_La5CePr8
_chemical_formula_sum 'La5 Ce1 Pr8'
_cell_length_a 8.715
_cell_length_b 8.715
_cell_length_c 8.715
_cell_angle_alpha 111.63
_cell_angle_beta 111.63
_cell_angle_gamma 105.23
_symmetry_space_group_name_H-M 'P 1'
_symmetry_Int_Tables_number 1
loop_
_symmetry_equiv_pos_as_xyz
'x,y,z'
loop_
_atom_site_label
_atom_site_type_symbol
_atom_site_fract_x
_atom_site_fract_y
_atom_site_fract_z
_atom_site_occupancy
Pr1 Pr 0.839 0.451 0.253 1
Pr2 Pr 0.198 0.585 0.747 1
Pr3 Pr 0.043 0.783 0.105 1
Pr4 Pr 0.549 0.802 0.387 1
Pr5 Pr 0.062 0.957 0.740 1
Pr6 Pr 0.217 0.321 0.260 1
Pr7 Pr 0.679 0.938 0.895 1
Pr8 Pr 0.415 0.161 0.613 1
La1 La 0.922 0.095 0.388 1
La2 La 0.467 0.078 0.173 1
La3 La 0.500 0.500 0.000 1
La4 La 0.905 0.294 0.827 1
La5 La 0.706 0.533 0.612 1
Ce1 Ce 0.250 0.750 0.500 1

# 2
# Tm2InC, relaxed, DFT PBE
# * E_form: -1.80 eV per formula unit
# * calculated total energy: -5.68 eV/atom
data_Tm2InC
_chemical_formula_sum 'Tm2 In1 C1'
_cell_length_a 3.548
_cell_length_b 3.548
_cell_length_c 8.295
_cell_angle_alpha 77.65
_cell_angle_beta 77.65
_cell_angle_gamma 60.00
_symmetry_space_group_name_H-M 'P 1'
_symmetry_Int_Tables_number 1
loop_
_symmetry_equiv_pos_as_xyz
'x,y,z'
loop_
_atom_site_label
_atom_site_type_symbol
_atom_site_fract_x
_atom_site_fract_y
_atom_site_fract_z
_atom_site_occupancy
Tm1 Tm 0.278 0.278 0.165 1
Tm2 Tm 0.722 0.722 0.835 1
C1 C 0.000 0.000 0.000 1
In1 In 0.500 0.500 0.500 1

# 3
# Zn2CdAu, relaxed, DFT PBE
# * E_form: 0.02 eV per formula unit
# * calculated total energy: -1.68 eV/atom
# * energy relative to the lowest polymorph listed for this composition: 101 meV per atom
data_Zn2CdAu
_chemical_formula_sum 'Zn2 Cd1 Au1'
_cell_length_a 3.045
_cell_length_b 3.045
_cell_length_c 9.231
_cell_angle_alpha 90.00
_cell_angle_beta 90.00
_cell_angle_gamma 121.80
_symmetry_space_group_name_H-M 'P 1'
_symmetry_Int_Tables_number 1
loop_
_symmetry_equiv_pos_as_xyz
'x,y,z'
loop_
_atom_site_label
_atom_site_type_symbol
_atom_site_fract_x
_atom_site_fract_y
_atom_site_fract_z
_atom_site_occupancy
Zn1 Zn 0.000 0.000 0.012 1
Zn2 Zn 0.000 0.000 0.488 1
Cd1 Cd 0.500 0.500 0.750 1
Au1 Au 0.500 0.500 0.250 1

# 4
# YGePO2, relaxed, DFT PBE
# * formation energy without anion corrections: -3.73 eV/f.u.
# * calculated total energy: -6.03 eV/atom
# * energy relative to the lowest polymorph listed for this composition: 495 meV per atom
data_YGePO2
_chemical_formula_sum 'Y1 Ge1 P1 O2'
_cell_length_a 4.225
_cell_length_b 4.225
_cell_length_c 5.805
_cell_angle_alpha 90.00
_cell_angle_beta 90.00
_cell_angle_gamma 90.00
_symmetry_space_group_name_H-M 'P 1'
_symmetry_Int_Tables_number 1
loop_
_symmetry_equiv_pos_as_xyz
'x,y,z'
loop_
_atom_site_label
_atom_site_type_symbol
_atom_site_fract_x
_atom_site_fract_y
_atom_site_fract_z
_atom_site_occupancy
Y1 Y 0.000 0.000 0.000 1
O1 O 0.500 0.000 0.000 1
O2 O 0.000 0.500 0.000 1
Ge1 Ge 0.500 0.500 0.500 1
P1 P 0.000 0.000 0.500 1

# 5
# PaFe3P3, relaxed, DFT PBE
# * E_form: -2.20 eV per formula unit
# * calculated total energy: -7.62 eV/atom
# * energy relative to the lowest polymorph listed for this composition: 320 meV per atom
data_PaFe3P3
_chemical_formula_sum 'Pa2 Fe6 P6'
_cell_length_a 6.055
_cell_length_b 6.055
_cell_length_c 6.055
_cell_angle_alpha 90.00
_cell_angle_beta 90.00
_cell_angle_gamma 90.00
_symmetry_space_group_name_H-M 'P 1'
_symmetry_Int_Tables_number 1
loop_
_symmetry_equiv_pos_as_xyz
'x,y,z'
loop_
_atom_site_label
_atom_site_type_symbol
_atom_site_fract_x
_atom_site_fract_y
_atom_site_fract_z
_atom_site_occupancy
P1 P 0.000 0.250 0.500 1
P2 P 0.500 0.000 0.250 1
P3 P 0.500 0.000 0.750 1
P4 P 0.250 0.500 0.000 1
P5 P 0.000 0.750 0.500 1
P6 P 0.750 0.500 0.000 1
Pa1 Pa 0.500 0.500 0.500 1
Pa2 Pa 0.000 0.000 0.000 1
Fe1 Fe 0.500 0.250 0.000 1
Fe2 Fe 0.000 0.500 0.250 1
Fe3 Fe 0.750 0.000 0.500 1
Fe4 Fe 0.250 0.000 0.500 1
Fe5 Fe 0.000 0.500 0.750 1
Fe6 Fe 0.500 0.750 0.000 1

# 6
# Ce5Co2Hg2, relaxed, DFT PBE
# * E_form: -1.29 eV per formula unit
# * calculated total energy: -5.09 eV/atom
# * energy relative to the lowest polymorph listed for this composition: 72 meV per atom
data_Ce5Co2Hg2
_chemical_formula_sum 'Ce10 Co4 Hg4'
_cell_length_a 7.254
_cell_length_b 7.089
_cell_length_c 10.105
_cell_angle_alpha 110.52
_cell_angle_beta 111.05
_cell_angle_gamma 90.00
_symmetry_space_group_name_H-M 'P 1'
_symmetry_Int_Tables_number 1
loop_
_symmetry_equiv_pos_as_xyz
'x,y,z'
loop_
_atom_site_label
_atom_site_type_symbol
_atom_site_fract_x
_atom_site_fract_y
_atom_site_fract_z
_atom_site_occupancy
Hg1 Hg 0.110 0.612 0.247 1
Hg2 Hg 0.637 0.111 0.247 1
Hg3 Hg 0.363 0.865 0.753 1
Hg4 Hg 0.890 0.365 0.753 1
Ce1 Ce 0.017 0.478 0.500 1
Ce2 Ce 0.242 0.223 0.986 1
Ce3 Ce 0.426 0.287 0.673 1
Ce4 Ce 0.757 0.738 0.014 1
Ce5 Ce 0.574 0.614 0.328 1
Ce6 Ce 0.982 0.978 0.500 1
Ce7 Ce 0.254 0.114 0.328 1
Ce8 Ce 0.758 0.238 0.014 1
Ce9 Ce 0.243 0.723 0.986 1
Ce10 Ce 0.746 0.787 0.672 1
Co1 Co 0.000 0.983 0.000 1
Co2 Co 0.500 0.483 0.000 1
Co3 Co 0.677 0.036 0.500 1
Co4 Co 0.323 0.536 0.500 1

# 7
# TiMnPb, relaxed, DFT PBE
# * E_form: 0.30 eV per formula unit
# * calculated total energy: -6.82 eV/atom
data_TiMnPb
_chemical_formula_sum 'Ti4 Mn4 Pb4'
_cell_length_a 11.249
_cell_length_b 3.564
_cell_length_c 6.215
_cell_angle_alpha 90.00
_cell_angle_beta 100.70
_cell_angle_gamma 90.00
_symmetry_space_group_name_H-M 'P 1'
_symmetry_Int_Tables_number 1
loop_
_symmetry_equiv_pos_as_xyz
'x,y,z'
loop_
_atom_site_label
_atom_site_type_symbol
_atom_site_fract_x
_atom_site_fract_y
_atom_site_fract_z
_atom_site_occupancy
Ti1 Ti 0.345 0.500 0.948 1
Ti2 Ti 0.655 0.000 0.552 1
Ti3 Ti 0.345 0.000 0.448 1
Ti4 Ti 0.655 0.500 0.052 1
Mn1 Mn 0.475 0.500 0.325 1
Mn2 Mn 0.475 0.000 0.825 1
Mn3 Mn 0.525 0.500 0.675 1
Mn4 Mn 0.525 0.000 0.175 1
Pb1 Pb 0.138 0.000 0.046 1
Pb2 Pb 0.862 0.500 0.454 1
Pb3 Pb 0.138 0.500 0.546 1
Pb4 Pb 0.862 0.000 0.954 1

# 8
# NpCdPtAu, relaxed, DFT PBE
# * E_form: -1.12 eV per formula unit
# * calculated total energy: -6.07 eV/atom
data_NpCdPtAu
_chemical_formula_sum 'Np1 Cd1 Pt1 Au1'
_cell_length_a 4.904
_cell_length_b 4.904
_cell_length_c 4.904
_cell_angle_alpha 60.00
_cell_angle_beta 60.00
_cell_angle_gamma 60.00
_symmetry_space_group_name_H-M 'P 1'
_symmetry_Int_Tables_number 1
loop_
_symmetry_equiv_pos_as_xyz
'x,y,z'
loop_
_atom_site_label
_atom_site_type_symbol
_atom_site_fract_x
_atom_site_fract_y
_atom_site_fract_z
_atom_site_occupancy
Cd1 Cd 0.500 0.500 0.500 1
Np1 Np 0.000 0.000 0.000 1
Au1 Au 0.750 0.750 0.750 1
Pt1 Pt 0.250 0.250 0.250 1

# 9
# Pm5Tl2Co2, relaxed, DFT PBE
# * E_form: -1.62 eV per formula unit
# * calculated total energy: -4.92 eV/atom
data_Pm5Tl2Co2
_chemical_formula_sum 'Pm10 Tl4 Co4'
_cell_length_a 8.426
_cell_length_b 7.070
_cell_length_c 8.849
_cell_angle_alpha 113.55
_cell_angle_beta 90.00
_cell_angle_gamma 90.00
_symmetry_space_group_name_H-M 'P 1'
_symmetry_Int_Tables_number 1
loop_
_symmetry_equiv_pos_as_xyz
'x,y,z'
loop_
_atom_site_label
_atom_site_type_symbol
_atom_site_fract_x
_atom_site_fract_y
_atom_site_fract_z
_atom_site_occupancy
Tl1 Tl 0.500 0.282 0.564 1
Tl2 Tl 0.000 0.782 0.564 1
Tl3 Tl 0.500 0.718 0.436 1
Tl4 Tl 0.000 0.218 0.436 1
Co1 Co 0.105 0.613 0.000 1
Co2 Co 0.895 0.387 0.000 1
Co3 Co 0.395 0.113 0.000 1
Co4 Co 0.605 0.887 0.000 1
Pm1 Pm 0.818 0.543 0.766 1
Pm2 Pm 0.818 0.777 0.234 1
Pm3 Pm 0.318 0.957 0.234 1
Pm4 Pm 0.682 0.277 0.234 1
Pm5 Pm 0.182 0.223 0.766 1
Pm6 Pm 0.000 0.000 0.000 1
Pm7 Pm 0.682 0.043 0.766 1
Pm8 Pm 0.182 0.457 0.234 1
Pm9 Pm 0.318 0.723 0.766 1
Pm10 Pm 0.500 0.500 0.000 1

# 10
# TiNb3Os, relaxed, DFT PBE
# * E_form: 5.34 eV per formula unit
# * calculated total energy: -8.80 eV/atom
# * energy relative to the lowest polymorph listed for this composition: 945 meV per atom
data_TiNb3Os
_chemical_formula_sum 'Ti1 Nb3 Os1'
_cell_length_a 4.846
_cell_length_b 4.846
_cell_length_c 4.846
_cell_angle_alpha 90.00
_cell_angle_beta 90.00
_cell_angle_gamma 90.00
_symmetry_space_group_name_H-M 'P 1'
_symmetry_Int_Tables_number 1
loop_
_symmetry_equiv_pos_as_xyz
'x,y,z'
loop_
_atom_site_label
_atom_site_type_symbol
_atom_site_fract_x
_atom_site_fract_y
_atom_site_fract_z
_atom_site_occupancy
Nb1 Nb 0.000 0.000 0.500 1
Nb2 Nb 0.000 0.500 0.000 1
Nb3 Nb 0.500 0.000 0.000 1
Ti1 Ti 0.500 0.500 0.500 1
Os1 Os 0.000 0.000 0.000 1

# 11
# AlGaGe2, relaxed, DFT PBE
# * E_form: 0.69 eV per formula unit
# * calculated total energy: -3.83 eV/atom
# * energy relative to the lowest polymorph listed for this composition: 44 meV per atom
data_AlGaGe2
_chemical_formula_sum 'Al1 Ga1 Ge2'
_cell_length_a 3.253
_cell_length_b 3.253
_cell_length_c 7.024
_cell_angle_alpha 90.00
_cell_angle_beta 90.00
_cell_angle_gamma 90.00
_symmetry_space_group_name_H-M 'P 1'
_symmetry_Int_Tables_number 1
loop_
_symmetry_equiv_pos_as_xyz
'x,y,z'
loop_
_atom_site_label
_atom_site_type_symbol
_atom_site_fract_x
_atom_site_fract_y
_atom_site_fract_z
_atom_site_occupancy
Ge1 Ge 0.000 0.000 0.232 1
Ge2 Ge 0.000 0.000 0.768 1
Ga1 Ga 0.500 0.500 0.500 1
Al1 Al 0.500 0.500 0.000 1